# K3MgPd2O6

Crystalline K3MgPd2O6 at its relaxed geometry (PBE, Alexandria via LeMat-Bulk).

Cell: 5.6943 9.5964 6.2269 Å, 90.00 107.98 90.00°
Space group C2/m (No. 12)
Asymmetric unit:
K1 0.0000 0.0000 0.0000 (multiplicity 2)
K2 0.0000 0.3330 0.0000 (multiplicity 4)
Mg1 0.0000 0.5000 0.5000 (multiplicity 2)
Pd1 0.0000 0.1661 0.5000 (multiplicity 4)
O1 0.2192 0.0000 0.6751 (multiplicity 4)
O2 0.2222 0.3294 0.6747 (multiplicity 8)

---

# KMgPdO2

Crystalline KMgPdO2 at its relaxed geometry (PBE, Alexandria via LeMat-Bulk).

Cell: 4.5784 4.5784 4.9640 Å, 90.00 90.00 90.00°
Space group P4/mmm (No. 123)
Asymmetric unit:
K1 0.0000 0.0000 0.0000 (multiplicity 1)
Mg1 0.5000 0.5000 0.5000 (multiplicity 1)
Pd1 0.0000 0.0000 0.5000 (multiplicity 1)
O1 0.0000 0.5000 0.0000 (multiplicity 2)

---

# KPrMgO3

Crystalline KPrMgO3 at its relaxed geometry (PBE, Alexandria via LeMat-Bulk).

Cell: 7.5134 3.6948 9.1403 Å, 90.00 105.22 90.00°
Space group P2_1/m (No. 11)
Asymmetric unit:
K1 0.1698 0.2500 0.1559 (multiplicity 2)
Pr1 0.3420 0.7500 0.8491 (multiplicity 2)
Mg1 0.0618 0.2500 0.6117 (multiplicity 2)
O1 0.1212 0.2500 0.8362 (multiplicity 2)
O2 0.1471 0.7500 0.5774 (multiplicity 2)
O3 0.4426 0.7500 0.1183 (multiplicity 2)

---

Computed values of formation energy (no corrections) (unit: eV per atom) for the preceding records, in sequence: -1.18 0.68 -2.47.